Here is a geometry-optimized CuMoCO2 structure from the Alexandria database. Energies are from GGA+U.

Cell lengths 3.9804, 3.9804, 3.5901 Å; angles 90.00, 90.00, 90.00 degrees
With the nearest neighbours (Å) after each atom.
Sites, in units of the cell vectors:
Cu 0.0000 0.0000 0.0000  2 C 1.80
Mo 0.5000 0.5000 0.0000  8 O 2.68, 4 Cu 2.81
C 0.0000 0.0000 0.5000  2 Cu 1.80, 4 O 1.99
O 0.0000 0.5000 0.5000  2 C 1.99
O 0.5000 0.0000 0.5000  2 C 1.99

The calculation puts the calculated density at 5.94 g/cm³. Its total magnetization is 3.130 μB/cell. As for the uncorrected energy: -5.11 eV/atom. The density of states at the Fermi level is 1.14 states/eV per cell. Its space group is P4/mmm, No. 123.